First-principles (PBE) data for a relaxed LiSm2Rh crystal, as listed in the Alexandria database.

Cell: 3.6818 4.9592 4.9592 Å, 90.00 90.00 90.00°
Positions (direct):
Li: 0.5000 0.0000 0.0000
Sm: 0.0000 0.0000 0.5000
Sm: 0.0000 0.5000 0.0000
Rh: 0.5000 0.5000 0.5000

Calculated values
symmetry = No. 123
energy of formation from the pure elements = -32.6 kJ per mole of atoms